# AcMgGaIr PBE relaxed
data_AcMgGaIr
_chemical_formula_sum 'Ac3 Mg3 Ga3 Ir3'
_symmetry_space_group_name_H-M 'R 3 m'
_symmetry_Int_Tables_number 160
_symmetry_space_group_name_Hall 'R 3 -2"'
_cell_length_a 4.4115
_cell_length_b 4.4115
_cell_length_c 17.7778
_cell_angle_alpha 90.00
_cell_angle_beta 90.00
_cell_angle_gamma 120.00
loop_
_atom_site_label
_atom_site_fract_x
_atom_site_fract_y
_atom_site_fract_z
Ac1 0.0000 0.0000 0.0000
Mg1 0.0000 0.0000 0.8140
Ga1 0.0000 0.0000 0.2126
Ir1 0.0000 0.0000 0.5556
# Total moment = 0.00 μB per formula unit
# ΔE_f = -0.457 eV/atom
# E above lowest polymorph = 0 meV/atom
# Energy = -4.85 eV/atom


# NaNdLu PBE relaxed
data_NaNdLu
_chemical_formula_sum 'Na1 Nd1 Lu1'
_symmetry_space_group_name_H-M 'P 3 m 1'
_symmetry_Int_Tables_number 156
_symmetry_space_group_name_Hall 'P 3 -2"'
_cell_length_a 3.5477
_cell_length_b 3.5477
_cell_length_c 9.1971
_cell_angle_alpha 90.00
_cell_angle_beta 90.00
_cell_angle_gamma 120.00
loop_
_atom_site_label
_atom_site_fract_x
_atom_site_fract_y
_atom_site_fract_z
Na1 0.0000 0.0000 0.0000
Nd1 0.3333 0.6667 0.6433
Lu1 0.6667 0.3333 0.3423
# Total moment = 0.08 μB per formula unit
# ΔE_f = 0.142 eV/atom
# E above lowest polymorph = 0 meV/atom
# Energy = -3.39 eV/atom


# CrHg2As2 PBE relaxed
data_CrHg2As2
_chemical_formula_sum 'Cr2 Hg4 As4'
_symmetry_space_group_name_H-M 'P 4/m b m'
_symmetry_Int_Tables_number 127
_symmetry_space_group_name_Hall '-P 4 2ab'
_cell_length_a 6.4307
_cell_length_b 6.4307
_cell_length_c 5.6433
_cell_angle_alpha 90.00
_cell_angle_beta 90.00
_cell_angle_gamma 90.00
loop_
_atom_site_label
_atom_site_fract_x
_atom_site_fract_y
_atom_site_fract_z
Cr1 0.0000 0.0000 0.0000
Hg1 0.1745 0.3255 0.5000
As1 0.1368 0.3632 0.0000
# Total moment = 3.35 μB per formula unit
# ΔE_f = 0.123 eV/atom
# Energy = -3.78 eV/atom


# Be4MoIr PBE relaxed
data_Be4MoIr
_chemical_formula_sum 'Be16 Mo4 Ir4'
_symmetry_space_group_name_H-M 'F -4 3 m'
_symmetry_Int_Tables_number 216
_symmetry_space_group_name_Hall 'F -4 2 3'
_cell_length_a 6.2292
_cell_length_b 6.2292
_cell_length_c 6.2292
_cell_angle_alpha 90.00
_cell_angle_beta 90.00
_cell_angle_gamma 90.00
loop_
_atom_site_label
_atom_site_fract_x
_atom_site_fract_y
_atom_site_fract_z
Be1 0.1225 0.1225 0.3775
Mo1 0.2500 0.2500 0.7500
Ir1 0.0000 0.0000 0.0000
# Total moment = 0.00 μB per formula unit
# ΔE_f = -0.355 eV/atom
# Energy = -6.12 eV/atom


- Which of these has the highest ΔE_f?
  NaNdLu


Copy entry 3 word for word.
# CrHg2As2 PBE relaxed
data_CrHg2As2
_chemical_formula_sum 'Cr2 Hg4 As4'
_symmetry_space_group_name_H-M 'P 4/m b m'
_symmetry_Int_Tables_number 127
_symmetry_space_group_name_Hall '-P 4 2ab'
_cell_length_a 6.4307
_cell_length_b 6.4307
_cell_length_c 5.6433
_cell_angle_alpha 90.00
_cell_angle_beta 90.00
_cell_angle_gamma 90.00
loop_
_atom_site_label
_atom_site_fract_x
_atom_site_fract_y
_atom_site_fract_z
Cr1 0.0000 0.0000 0.0000
Hg1 0.1745 0.3255 0.5000
As1 0.1368 0.3632 0.0000
# Total moment = 3.35 μB per formula unit
# ΔE_f = 0.123 eV/atom
# Energy = -3.78 eV/atom


What did the first record say?
# AcMgGaIr PBE relaxed
data_AcMgGaIr
_chemical_formula_sum 'Ac3 Mg3 Ga3 Ir3'
_symmetry_space_group_name_H-M 'R 3 m'
_symmetry_Int_Tables_number 160
_symmetry_space_group_name_Hall 'R 3 -2"'
_cell_length_a 4.4115
_cell_length_b 4.4115
_cell_length_c 17.7778
_cell_angle_alpha 90.00
_cell_angle_beta 90.00
_cell_angle_gamma 120.00
loop_
_atom_site_label
_atom_site_fract_x
_atom_site_fract_y
_atom_site_fract_z
Ac1 0.0000 0.0000 0.0000
Mg1 0.0000 0.0000 0.8140
Ga1 0.0000 0.0000 0.2126
Ir1 0.0000 0.0000 0.5556
# Total moment = 0.00 μB per formula unit
# ΔE_f = -0.457 eV/atom
# E above lowest polymorph = 0 meV/atom
# Energy = -4.85 eV/atom